# 1
# ReTe2Cl PBE relaxed
# * calculated volume: 86.8 Å³/f.u.
# * formation energy (no corrections): 0.6 eV per formula unit
# * energy above the lowest structure with this stoichiometry: 85 meV per atom
# * electronic total energy: -20.0 eV/f.u.
data_ReTe2Cl
_chemical_formula_sum 'Re1 Te2 Cl1'
_cell_length_a 3.251
_cell_length_b 3.251
_cell_length_c 8.213
_cell_angle_alpha 90.00
_cell_angle_beta 90.00
_cell_angle_gamma 90.00
_symmetry_space_group_name_H-M 'P 4/m m m'
_symmetry_Int_Tables_number 123
_symmetry_space_group_name_Hall '-P 4 2'
loop_
_atom_site_label
_atom_site_fract_x
_atom_site_fract_y
_atom_site_fract_z
Re1 0.000 0.000 0.000
Te1 0.500 0.500 0.209
Cl1 0.000 0.000 0.500

---

# 2
# Re2TeCl PBE relaxed
# * calculated volume: 68.1 Å³/f.u.
# * formation energy (no corrections): 4.3 eV per formula unit
# * energy above the lowest structure with this stoichiometry: 1011 meV per atom
# * electronic total energy: -25.6 eV/f.u.
data_Re2TeCl
_chemical_formula_sum 'Re2 Te1 Cl1'
_cell_length_a 4.566
_cell_length_b 3.053
_cell_length_c 5.289
_cell_angle_alpha 90.00
_cell_angle_beta 112.48
_cell_angle_gamma 90.00
_symmetry_space_group_name_H-M 'P 1 2/m 1'
_symmetry_Int_Tables_number 10
loop_
_symmetry_equiv_pos_as_xyz
'x,y,z'
'-x,-y,-z'
'-x,y,-z'
'x,-y,z'
loop_
_atom_site_label
_atom_site_fract_x
_atom_site_fract_y
_atom_site_fract_z
Re1 0.000 0.000 0.000
Re2 0.000 0.500 0.500
Te1 0.500 0.000 0.500
Cl1 0.500 0.500 0.000